Record 1
# BaPaSe2O8

An optimized crystal structure of BaPaSe2O8 (GGA-PBE, Alexandria via LeMat-Bulk).

Geometry as extended XYZ:
```
12
Lattice="6.183 0.000 0.000 -3.092 5.355 0.000 0.000 0.000 7.461" Properties=species:S:1:pos:R:3 pbc="T T T"
Ba 0.000 0.000 0.000
Pa 0.000 0.000 3.731
Se 0.000 3.570 2.024
Se 3.092 1.785 5.437
O 0.000 1.658 2.337
O -1.655 4.526 2.337
O 1.436 0.829 5.124
O 0.000 3.570 0.369
O 3.092 1.785 7.092
O 1.655 4.526 2.337
O 4.747 0.829 5.124
O 3.092 3.696 5.124
```

Summary:
Formation energy from raw total energies   -1798.0 meV/atom
DFT total energy   -6.64 eV per atom

Record 2
# FeHg3B

An optimized crystal structure of FeHg3B (GGA-PBE, Alexandria via LeMat-Bulk).

Geometry as extended XYZ:
```
5
Lattice="5.078 0.000 0.000 0.000 5.078 0.000 0.000 0.000 5.078" Properties=species:S:1:pos:R:3 pbc="T T T"
Fe 0.000 0.000 0.000
Hg 0.000 0.000 2.539
Hg 0.000 2.539 0.000
Hg 2.539 0.000 0.000
B 2.539 2.539 2.539
```

Summary:
Distance to the lowest polymorph of the same formula   1.79 eV/f.u.
DFT total energy   -1.85 eV per atom
Energy of formation from the pure elements   1.36 eV/atom

Record 3
# ZnCrCl2

An optimized crystal structure of ZnCrCl2 (GGA-PBE, Alexandria via LeMat-Bulk).

Geometry as extended XYZ:
```
4
Lattice="3.664 0.000 0.000 0.000 3.299 0.000 -0.603 0.000 8.148" Properties=species:S:1:pos:R:3 pbc="T T T"
Zn 0.000 0.000 0.000
Cr 2.408 1.649 1.785
Cl 0.269 1.649 6.699
Cl 1.853 0.000 3.309
```

Summary:
Formation energy from raw total energies   -416.1 meV/atom
Distance to the lowest polymorph of the same formula   0.27 eV/f.u.
DFT total energy   -4.06 eV per atom